No. 1
# TiBe3Tc | Alexandria | GGA-PBE | optimized geometry
# Fermi-level density of states: 2.88 states/eV/atom
# Distance to the lowest polymorph of the same formula: 1202 meV/atom
data_TiBe3Tc
_chemical_formula_sum 'Ti1 Be3 Tc1'
_cell_length_a 4.073
_cell_length_b 4.073
_cell_length_c 4.073
_cell_angle_alpha 90.00
_cell_angle_beta 90.00
_cell_angle_gamma 90.00
_space_group_name_H-M_alt 'P m -3 m'
_space_group_IT_number 221
_space_group_name_Hall '-P 4 2 3'
loop_
_atom_site_label
_atom_site_type_symbol
_atom_site_fract_x
_atom_site_fract_y
_atom_site_fract_z
Ti1 Ti 0.000 0.000 0.000
Be1 Be 0.000 0.000 0.500
Tc1 Tc 0.500 0.500 0.500

***

No. 2
# TiBe3Tc | Alexandria | GGA-PBE | optimized geometry
# Fermi-level density of states: 0.67 states/eV/atom
# Distance to the lowest polymorph of the same formula: 0 meV/atom
data_TiBe3Tc
_chemical_formula_sum 'Ti1 Be3 Tc1'
_cell_length_a 4.099
_cell_length_b 4.099
_cell_length_c 4.099
_cell_angle_alpha 90.00
_cell_angle_beta 90.00
_cell_angle_gamma 90.00
_space_group_name_H-M_alt 'P m -3 m'
_space_group_IT_number 221
_space_group_name_Hall '-P 4 2 3'
loop_
_atom_site_label
_atom_site_type_symbol
_atom_site_fract_x
_atom_site_fract_y
_atom_site_fract_z
Ti1 Ti 0.000 0.000 0.000
Be1 Be 0.000 0.500 0.500
Tc1 Tc 0.500 0.500 0.500